CsTiVF6 | Alexandria | PBE with a Hubbard U | optimized geometry; uncorrected energy = -6.095 eV per atom; SG = Imma; spin magnetization = 8.00 μB per cell; DOS(E_F) = 0.323 states/eV/atom
1.0
7.599 0.000 0.000
0.000 7.692 0.000
-3.800 -3.846 5.343
Cs Ti V F
2 2 2 12
Direct
0.879 0.629 0.758
0.121 0.371 0.242
0.500 0.500 0.000
0.500 0.000 0.000
0.500 0.000 0.500
0.000 0.000 0.500
0.450 0.700 0.901
0.833 0.083 0.666
0.811 0.082 0.252
0.441 0.670 0.252
0.441 0.082 0.252
0.811 0.670 0.252
0.550 0.300 0.099
0.167 0.917 0.334
0.189 0.918 0.748
0.559 0.330 0.748
0.559 0.918 0.748
0.189 0.330 0.748